Entry 1:
{"formula": "MgCoSiOs", "functional": "GGA-PBE", "state": "relaxed", "cell": [[0.0000, 2.9440, 2.9440], [2.9440, 0.0000, 2.9440], [2.9440, 2.9440, 0.0000]], "species": ["Mg", "Co", "Si", "Os"], "frac_coords": [[0.0000, 0.0000, 0.0000], [0.7500, 0.7500, 0.7500], [0.5000, 0.5000, 0.5000], [0.2500, 0.2500, 0.2500]], "e_form_raw_ev_per_atom": -0.159}


Entry 2:
{"formula": "Sr2In2Sb", "functional": "GGA-PBE", "state": "relaxed", "cell": [[8.1105, 0.0000, 0.0000], [0.0000, 8.1105, 0.0000], [0.0000, 0.0000, 5.0567]], "species": ["Sr", "Sr", "Sr", "Sr", "In", "In", "In", "In", "Sb", "Sb"], "frac_coords": [[0.1735, 0.3265, 0.0000], [0.3265, 0.8265, 0.0000], [0.6735, 0.1735, 0.0000], [0.8265, 0.6735, 0.0000], [0.1285, 0.6285, 0.5000], [0.3715, 0.1285, 0.5000], [0.6285, 0.8715, 0.5000], [0.8715, 0.3715, 0.5000], [0.0000, 0.0000, 0.5000], [0.5000, 0.5000, 0.5000]], "relative_energy_ev_per_atom": 0.009, "e_form_raw_ev_per_atom": -0.467}


Entry 3:
{"formula": "DySc2Ag", "functional": "GGA-PBE", "state": "relaxed", "cell": [[4.4850, 0.0000, 0.0000], [0.0000, 4.4850, 0.0000], [0.0000, 0.0000, 4.7322]], "species": ["Dy", "Sc", "Sc", "Ag"], "frac_coords": [[0.0000, 0.0000, 0.0000], [0.0000, 0.5000, 0.5000], [0.5000, 0.0000, 0.5000], [0.5000, 0.5000, 0.0000]], "relative_energy_ev_per_atom": 0.099, "ef_ev_per_atom": -0.0065}


Entry 4:
{"formula": "Rb2NaTl", "functional": "GGA-PBE", "state": "relaxed", "cell": [[4.7622, 0.0000, 0.0000], [0.0000, 4.7622, 0.0000], [0.0000, 0.0000, 9.0320]], "species": ["Rb", "Rb", "Na", "Tl"], "frac_coords": [[0.0000, 0.0000, 0.2284], [0.0000, 0.0000, 0.7716], [0.5000, 0.5000, 0.5000], [0.5000, 0.5000, 0.0000]], "relative_energy_ev_per_atom": 0.056, "ef_ev_per_atom": 0.0382}


Entry 5:
{"formula": "Sc2WBr", "functional": "GGA-PBE", "state": "relaxed", "cell": [[-2.9536, 2.9536, 6.4866], [2.9536, -2.9536, 6.4866], [2.9536, 2.9536, -6.4866]], "species": ["Sc", "Sc", "Sc", "Sc", "W", "W", "Br", "Br"], "frac_coords": [[0.0838, 0.6250, 0.9588], [0.3750, 0.3338, 0.4588], [0.6662, 0.1250, 0.0412], [0.8750, 0.9162, 0.5412], [0.0000, 0.0000, 0.0000], [0.7500, 0.2500, 0.5000], [0.2500, 0.7500, 0.5000], [0.5000, 0.5000, 0.0000]], "relative_energy_ev_per_atom": 1.088, "e_form_raw_ev_per_atom": 0.817}


Entry 6:
{"formula": "MnRe3S", "functional": "GGA-PBE", "state": "relaxed", "cell": [[4.4422, 0.0000, 0.0000], [0.0000, 4.4422, 0.0000], [0.0000, 0.0000, 4.4422]], "species": ["Mn", "Re", "Re", "Re", "S"], "frac_coords": [[0.0000, 0.0000, 0.0000], [0.0000, 0.0000, 0.5000], [0.0000, 0.5000, 0.0000], [0.5000, 0.0000, 0.0000], [0.5000, 0.5000, 0.5000]], "relative_energy_ev_per_atom": 0.982, "e_form_raw_ev_per_atom": 1.921}


Entry 7:
{"formula": "Er2Co3Ni", "functional": "GGA-PBE", "state": "relaxed", "cell": [[2.4828, 1.4335, 4.2346], [-2.4828, 1.4335, 4.2346], [0.0000, -2.8669, 4.2346]], "species": ["Er", "Er", "Co", "Co", "Co", "Ni"], "frac_coords": [[0.1222, 0.1222, 0.1222], [0.8778, 0.8778, 0.8778], [0.0000, 0.5000, 0.5000], [0.5000, 0.0000, 0.5000], [0.5000, 0.5000, 0.0000], [0.5000, 0.5000, 0.5000]], "ef_ev_per_atom": -0.3022}


Entry 8:
{"formula": "CaBe5Au7", "functional": "GGA-PBE", "state": "relaxed", "cell": [[-2.5418, 4.3638, 4.4317], [2.5418, -4.3638, 4.4317], [2.5418, 4.3638, -4.4317]], "species": ["Ca", "Be", "Be", "Be", "Be", "Be", "Au", "Au", "Au", "Au", "Au", "Au", "Au"], "frac_coords": [[0.0000, 0.0000, 0.0000], [0.4878, 0.4898, 0.5079], [0.4878, 0.9800, 0.9981], [0.7568, 0.2568, 0.5000], [0.9819, 0.4898, 0.0019], [0.9819, 0.9800, 0.4921], [0.1525, 0.4601, 0.6924], [0.2200, 0.7200, 0.5000], [0.3393, 0.3393, 0.0000], [0.3561, 0.0181, 0.3380], [0.6713, 0.6713, 0.0000], [0.6801, 0.0181, 0.6620], [0.7677, 0.4601, 0.3076]], "ef_ev_per_atom": -0.2516}


Entry 9:
{"formula": "Ta2CrAs", "functional": "GGA-PBE", "state": "relaxed", "cell": [[3.3118, 0.0000, 0.0000], [0.0000, 3.3118, 0.0000], [0.0000, 0.0000, 5.7955]], "species": ["Ta", "Ta", "Cr", "As"], "frac_coords": [[0.0000, 0.0000, 0.2469], [0.0000, 0.0000, 0.7531], [0.5000, 0.5000, 0.0000], [0.5000, 0.5000, 0.5000]], "ef_ev_per_atom": -0.0344}


Entry 10:
{"formula": "Tc4P3", "functional": "GGA-PBE", "state": "relaxed", "cell": [[4.8178, 0.0000, 0.0000], [-2.4089, 4.1723, 0.0000], [0.0000, 0.0000, 4.8408]], "species": ["Tc", "Tc", "Tc", "Tc", "P", "P", "P"], "frac_coords": [[0.0000, 0.0000, 0.2332], [0.0000, 0.0000, 0.7668], [0.3333, 0.6667, 0.0000], [0.6667, 0.3333, 0.0000], [0.0000, 0.5000, 0.5000], [0.5000, 0.0000, 0.5000], [0.5000, 0.5000, 0.5000]], "ef_ev_per_atom": 0.5134}


Entry 11:
{"formula": "ErNiPd", "functional": "GGA-PBE", "state": "relaxed", "cell": [[4.2280, 0.0000, 0.0000], [-2.1140, 3.6616, 0.0000], [0.0000, 0.0000, 3.6053]], "species": ["Er", "Ni", "Pd"], "frac_coords": [[0.0000, 0.0000, 0.0000], [0.6667, 0.3333, 0.5000], [0.3333, 0.6667, 0.5000]], "relative_energy_ev_per_atom": 0.081, "ef_ev_per_atom": -0.5694}


Entry 12:
{"formula": "Cu2GeAu3", "functional": "GGA-PBE", "state": "relaxed", "cell": [[2.8544, 0.0000, 0.0000], [0.0000, 2.8544, 0.0000], [0.0000, 0.0000, 12.0843]], "species": ["Cu", "Cu", "Ge", "Au", "Au", "Au"], "frac_coords": [[0.0000, 0.0000, 0.1538], [0.0000, 0.0000, 0.8462], [0.0000, 0.0000, 0.5000], [0.5000, 0.5000, 0.0000], [0.5000, 0.5000, 0.3070], [0.5000, 0.5000, 0.6930]], "ef_ev_per_atom": 0.0209}